VASP calculation (PBE) on a geometry-optimized LiSmDyLu structure.

a b c (Å): 5.462 5.462 5.462
angles (deg): 60.00 60.00 60.00
Fractional coordinates of all 4 atoms:
Lu 0.750 0.750 0.750
Li 0.250 0.250 0.250
Sm 0.000 0.000 0.000
Dy 0.500 0.500 0.500

total moment = 0.00 μB per atom
formation enthalpy at 0 K = 0.155 eV/atom
space-group type = F-43m